{
  "formula": "VCrCo4",
  "functional": "GGA-PBE",
  "state": "optimized geometry",
  "spacegroup": "F-43m (216)",
  "formation_enthalpy_0k_ev_per_atom": 0.08,
  "dos_ef_per_ev_cell": 9.316,
  "magnetic_moment_mub_per_cell": 6.41,
  "relative_energy_mev_per_atom": 19.6,
  "lattice_angstrom": [[4.6317, 0.0000, 0.0000], [2.3158, 4.0112, 0.0000], [2.3158, 1.3371, 3.7818]],
  "species": ["Cr", "Co", "Co", "Co", "Co", "V"],
  "frac_coords": [[0.0000, 0.0000, 0.0000], [0.6255, 0.6255, 0.1235], [0.6255, 0.1235, 0.6255], [0.6255, 0.6255, 0.6255], [0.1235, 0.6255, 0.6255], [0.2500, 0.2500, 0.2500]]
}



{
  "formula": "V4CrCo2",
  "functional": "GGA-PBE",
  "state": "optimized geometry",
  "spacegroup": "I4/mmm (139)",
  "formation_enthalpy_0k_ev_per_atom": 0.82,
  "dos_ef_per_ev_cell": 9.936,
  "magnetic_moment_mub_per_cell": 0.00,
  "lattice_angstrom": [[4.1662, 0.0000, 0.0000], [0.0000, 4.1662, 0.0000], [2.0831, 2.0831, 5.9019]],
  "species": ["Cr", "Co", "Co", "V", "V", "V", "V"],
  "frac_coords": [[0.0000, 0.0000, 0.0000], [0.3854, 0.3854, 0.2292], [0.6146, 0.6146, 0.7708], [0.2002, 0.2002, 0.5995], [0.7998, 0.7998, 0.4005], [0.0000, 0.5000, 0.0000], [0.5000, 0.0000, 0.0000]]
}



{
  "formula": "V2CrCo",
  "functional": "GGA-PBE",
  "state": "optimized geometry",
  "spacegroup": "I-42d (122)",
  "formation_enthalpy_0k_ev_per_atom": 0.44,
  "dos_ef_per_ev_cell": 11.128,
  "magnetic_moment_mub_per_cell": 0.00,
  "lattice_angstrom": [[6.4544, 0.0000, 0.0000], [0.0000, 6.4544, 0.0000], [3.2272, 3.2272, 2.4671]],
  "species": ["Cr", "Cr", "Co", "Co", "V", "V", "V", "V"],
  "frac_coords": [[0.5000, 0.5000, 0.0000], [0.2500, 0.7500, 0.5000], [0.0000, 0.0000, 0.0000], [0.7500, 0.2500, 0.5000], [0.6344, 0.1250, 0.2500], [0.1156, 0.6250, 0.2500], [0.3750, 0.3656, 0.7500], [0.8750, 0.8844, 0.7500]]
}



{
  "formula": "V4Cr2Co",
  "functional": "GGA-PBE",
  "state": "optimized geometry",
  "spacegroup": "I4/mmm (139)",
  "formation_enthalpy_0k_ev_per_atom": 0.18,
  "dos_ef_per_ev_cell": 6.732,
  "magnetic_moment_mub_per_cell": 0.00,
  "relative_energy_mev_per_atom": 0.0,
  "lattice_angstrom": [[4.6616, -0.0459, -1.6685], [-2.3368, 4.0559, -1.6141], [-0.0265, 0.0459, 4.9511]],
  "species": ["V", "V", "V", "V", "Cr", "Cr", "Co"],
  "frac_coords": [[0.5000, 0.0000, 0.0000], [0.5000, 0.5000, 0.5000], [0.0000, 0.0000, 0.5000], [0.0000, 0.5000, 0.0000], [0.5000, 0.5000, 0.0000], [0.5000, 0.0000, 0.5000], [0.0000, 0.0000, 0.0000]]
}



{
  "formula": "VCrCo3",
  "functional": "GGA-PBE",
  "state": "optimized geometry",
  "spacegroup": "Pm-3m (221)",
  "formation_enthalpy_0k_ev_per_atom": 1.11,
  "dos_ef_per_ev_cell": 8.396,
  "magnetic_moment_mub_per_cell": 3.70,
  "relative_energy_mev_per_atom": 1020.8,
  "lattice_angstrom": [[4.1418, 0.0000, 0.0000], [0.0000, 4.1418, 0.0000], [0.0000, 0.0000, 4.1418]],
  "species": ["Cr", "Co", "Co", "Co", "V"],
  "frac_coords": [[0.0000, 0.0000, 0.0000], [0.0000, 0.5000, 0.0000], [0.0000, 0.0000, 0.5000], [0.5000, 0.0000, 0.0000], [0.5000, 0.5000, 0.5000]]
}



{
  "formula": "VCr4Co",
  "functional": "GGA-PBE",
  "state": "optimized geometry",
  "spacegroup": "F-43m (216)",
  "formation_enthalpy_0k_ev_per_atom": 0.21,
  "dos_ef_per_ev_cell": 9.509,
  "magnetic_moment_mub_per_cell": 0.00,
  "lattice_angstrom": [[4.6863, 0.0000, 0.0000], [2.3432, 4.0585, 0.0000], [2.3432, 1.3528, 3.8264]],
  "species": ["Cr", "Cr", "Cr", "Cr", "Co", "V"],
  "frac_coords": [[0.6236, 0.6236, 0.1291], [0.6236, 0.1291, 0.6236], [0.6236, 0.6236, 0.6236], [0.1291, 0.6236, 0.6236], [0.0000, 0.0000, 0.0000], [0.2500, 0.2500, 0.2500]]
}